No. 1
Material: BaZnPb
Method: DFT, PBE-GGA
State: relaxed

Its symmetry is Imm2, No. 44. For the formation energy, the calculation gives -0.3751 eV/atom. As for the mass density: 7.2 g cm⁻³.

Cell: 6.562 6.562 6.562 Å, 132.92 99.49 98.87°
Atoms (fractional coordinates):
Ba (0.000, 0.000, 0.000)
Ba (0.587, 0.087, 0.500)
Zn (0.051, 0.710, 0.341)
Zn (0.369, 0.710, 0.659)
Pb (0.190, 0.390, 0.800)
Pb (0.589, 0.390, 0.200)


No. 2
Material: BaZnPb
Method: DFT, PBE-GGA
State: relaxed

Its symmetry is P-6m2, No. 187. For the formation energy, the calculation gives -0.3892 eV/atom. As for the mass density: 6.7 g cm⁻³.

Cell: 4.808 4.808 5.097 Å, 90.00 90.00 120.00°
Atoms (fractional coordinates):
Ba (0.000, 0.000, 0.000)
Zn (0.333, 0.667, 0.500)
Pb (0.667, 0.333, 0.500)


No. 3
Material: BaZn3Pb
Method: DFT, PBE-GGA
State: relaxed

Its symmetry is Pm-3m, No. 221. For the formation energy, the calculation gives 0.1898 eV/atom. As for the energy above the most stable polymorph in this dataset: 0 meV per atom. As for the mass density: 5.4 g cm⁻³.

Cell: 5.487 5.487 5.487 Å, 90.00 90.00 90.00°
Atoms (fractional coordinates):
Ba (0.000, 0.000, 0.000)
Zn (0.000, 0.500, 0.500)
Zn (0.500, 0.000, 0.500)
Zn (0.500, 0.500, 0.000)
Pb (0.500, 0.500, 0.500)


No. 4
Material: BaZnPb2
Method: DFT, PBE-GGA
State: relaxed

Its symmetry is F-43m, No. 216. For the formation energy, the calculation gives -0.2016 eV/atom. As for the mass density: 7.9 g cm⁻³.

Cell: 5.684 5.684 5.684 Å, 60.00 60.00 60.00°
Atoms (fractional coordinates):
Ba (0.000, 0.000, 0.000)
Zn (0.250, 0.250, 0.250)
Pb (0.500, 0.500, 0.500)
Pb (0.750, 0.750, 0.750)


No. 5
Material: BaZnPb2
Method: DFT, PBE-GGA
State: relaxed

Its symmetry is Immm, No. 71. For the formation energy, the calculation gives -0.1542 eV/atom. As for the mass density: 8.1 g cm⁻³.

Cell: 6.682 6.682 6.682 Å, 145.53 130.55 61.68°
Atoms (fractional coordinates):
Ba (0.000, 0.000, 0.000)
Zn (0.500, 0.500, 0.000)
Pb (0.284, 0.784, 0.500)
Pb (0.716, 0.216, 0.500)


No. 6
Material: Ba3ZnPb
Method: DFT, PBE-GGA
State: relaxed

Its symmetry is Pm-3m, No. 221. For the formation energy, the calculation gives -0.0311 eV/atom. As for the energy above the most stable polymorph in this dataset: 165 meV per atom. As for the mass density: 4.7 g cm⁻³.

Cell: 6.228 6.228 6.228 Å, 90.00 90.00 90.00°
Atoms (fractional coordinates):
Ba (0.000, 0.000, 0.500)
Ba (0.000, 0.500, 0.000)
Ba (0.500, 0.000, 0.000)
Zn (0.000, 0.000, 0.000)
Pb (0.500, 0.500, 0.500)